[1]
First-principles (GGA-PBE) data for crystalline La2HoTmP4 at its relaxed geometry, as listed in the Alexandria database.

Structure (POSCAR):
```
La2HoTmP4
1.0
-2.2445 -1.5275 3.1058
-4.4873 -2.9614 -4.6992
5.2341 -4.6041 1.5182
P Tm La Ho
4 1 2 1
direct
0.5000 0.2458 0.2340 P
0.0000 0.7434 0.2334 P
0.5000 0.7542 0.7660 P
0.0000 0.2566 0.7666 P
0.5000 0.5000 0.0000 Tm
0.0000 0.5000 0.5000 La
0.5000 0.0000 0.5000 La
0.0000 0.0000 0.0000 Ho
```

Output
As for the formation enthalpy at 0 K: -1.57 eV/atom. As for the space group: No. 10. The calculation puts the density of states at the Fermi level at 0.093 states/eV per atom. As for the total DFT energy (no corrections): -6.64 eV/atom.

[2]
First-principles (GGA-PBE) data for crystalline LaHo2UP4 at its relaxed geometry, as listed in the Alexandria database.

Structure (POSCAR):
```
LaHo2UP4
1.0
4.0297 0.0000 0.0000
0.0000 7.0217 0.1429
0.0000 -2.4348 6.5416
P Ho U La
4 2 1 1
direct
0.0000 0.7653 0.2561 P
0.5000 0.7598 0.7489 P
0.0000 0.2347 0.7439 P
0.5000 0.2402 0.2511 P
0.5000 0.0000 0.5000 Ho
0.0000 0.5000 0.5000 Ho
0.0000 0.0000 0.0000 U
0.5000 0.5000 0.0000 La
```

Output
As for the formation enthalpy at 0 K: -1.41 eV/atom. As for the space group: No. 10. The calculation puts the density of states at the Fermi level at 0.955 states/eV per atom. As for the total DFT energy (no corrections): -7.29 eV/atom.

[3]
First-principles (GGA-PBE) data for crystalline LaY2HoP4 at its relaxed geometry, as listed in the Alexandria database.

Structure (POSCAR):
```
LaY2HoP4
1.0
-3.7162 -0.7075 -1.5214
-2.2200 -2.0505 6.3763
-1.0266 6.9435 -0.7217
P Ho La Y
4 1 1 2
direct
0.5000 0.2444 0.2529 P
0.5000 0.7556 0.7471 P
0.0000 0.7595 0.2583 P
0.0000 0.2405 0.7417 P
0.0000 0.0000 0.0000 Ho
0.5000 0.5000 0.0000 La
0.5000 0.0000 0.5000 Y
0.0000 0.5000 0.5000 Y
```

Output
As for the formation enthalpy at 0 K: -1.59 eV/atom. As for the space group: No. 10. The calculation puts the density of states at the Fermi level at 0.097 states/eV per atom. As for the total DFT energy (no corrections): -7.10 eV/atom.

[4]
First-principles (GGA-PBE) data for crystalline La2HoZrP4 at its relaxed geometry, as listed in the Alexandria database.

Structure (POSCAR):
```
La2HoZrP4
1.0
4.0368 0.0000 0.0000
0.0000 6.9972 0.1289
0.0000 -2.4391 6.6236
P La Zr Ho
4 2 1 1
direct
0.0000 0.2488 0.7719 P
0.5000 0.2340 0.2240 P
0.5000 0.7660 0.7760 P
0.0000 0.7512 0.2281 P
0.0000 0.5000 0.5000 La
0.5000 0.0000 0.5000 La
0.0000 0.0000 0.0000 Zr
0.5000 0.5000 0.0000 Ho
```

Output
As for the formation enthalpy at 0 K: -1.52 eV/atom. As for the space group: No. 10. The calculation puts the density of states at the Fermi level at 0.178 states/eV per atom. As for the total DFT energy (no corrections): -7.10 eV/atom.

[5]
First-principles (GGA-PBE) data for crystalline LaHoPuPa at its relaxed geometry, as listed in the Alexandria database.

Structure (POSCAR):
```
LaHoPuPa
1.0
5.4763 0.0000 0.0000
2.7381 4.7426 0.0000
2.7381 1.5809 4.4714
La Ho Pu Pa
1 1 1 1
direct
0.0000 0.0000 0.0000 La
0.7500 0.7500 0.7500 Ho
0.5000 0.5000 0.5000 Pu
0.2500 0.2500 0.2500 Pa
```

Output
As for the formation enthalpy at 0 K: 0.35 eV/atom. As for the space group: No. 216. The calculation puts the density of states at the Fermi level at 2.609 states/eV per atom. As for the total DFT energy (no corrections): -7.98 eV/atom.

[6]
First-principles (GGA-PBE) data for crystalline La2HoPa2Rh5 at its relaxed geometry, as listed in the Alexandria database.

Structure (POSCAR):
```
La2HoPa2Rh5
1.0
3.5819 0.0000 0.0000
0.0000 11.0930 0.0000
0.0000 0.0000 11.0930
La Rh Pa Ho
4 10 4 2
direct
0.0000 0.3309 0.8309 La
0.0000 0.1691 0.3309 La
0.0000 0.8309 0.6691 La
0.0000 0.6691 0.1691 La
0.5000 0.9413 0.1989 Rh
0.5000 0.5000 0.0000 Rh
0.5000 0.4413 0.3011 Rh
0.5000 0.6989 0.4413 Rh
0.5000 0.0587 0.8011 Rh
0.5000 0.1989 0.0587 Rh
0.5000 0.8011 0.9413 Rh
0.5000 0.3011 0.5587 Rh
0.5000 0.0000 0.5000 Rh
0.5000 0.5587 0.6989 Rh
0.0000 0.3594 0.1406 Pa
0.0000 0.8594 0.3594 Pa
0.0000 0.1406 0.6406 Pa
0.0000 0.6406 0.8594 Pa
0.0000 0.5000 0.5000 Ho
0.0000 0.0000 0.0000 Ho
```

Output
As for the formation enthalpy at 0 K: -0.66 eV/atom. As for the space group: No. 127. The calculation puts the density of states at the Fermi level at 1.052 states/eV per atom. As for the total DFT energy (no corrections): -7.68 eV/atom.

[7]
First-principles (GGA-PBE) data for crystalline La2HoPa2Ru5 at its relaxed geometry, as listed in the Alexandria database.

Structure (POSCAR):
```
La2HoPa2Ru5
1.0
3.4476 0.0000 0.0000
0.0000 11.2178 0.0000
0.0000 0.0000 11.2178
Pa Ru La Ho
4 10 4 2
direct
0.0000 0.8538 0.3538 Pa
0.0000 0.6462 0.8538 Pa
0.0000 0.1462 0.6462 Pa
0.0000 0.3538 0.1462 Pa
0.5000 0.0450 0.7854 Ru
0.5000 0.5450 0.7146 Ru
0.5000 0.2146 0.0450 Ru
0.5000 0.7854 0.9550 Ru
0.5000 0.7146 0.4550 Ru
0.5000 0.2854 0.5450 Ru
0.5000 0.9550 0.2146 Ru
0.5000 0.5000 0.0000 Ru
0.5000 0.0000 0.5000 Ru
0.5000 0.4550 0.2854 Ru
0.0000 0.8332 0.6668 La
0.0000 0.1668 0.3332 La
0.0000 0.3332 0.8332 La
0.0000 0.6668 0.1668 La
0.0000 0.5000 0.5000 Ho
0.0000 0.0000 0.0000 Ho
```

Output
As for the formation enthalpy at 0 K: -0.28 eV/atom. As for the space group: No. 127. The calculation puts the density of states at the Fermi level at 0.970 states/eV per atom. As for the total DFT energy (no corrections): -8.26 eV/atom.

[8]
First-principles (GGA-PBE) data for crystalline La3Ho2Pb4 at its relaxed geometry, as listed in the Alexandria database.

Structure (POSCAR):
```
La3Ho2Pb4
1.0
-3.1026 -3.5784 0.0448
6.1220 -2.1296 3.4959
-6.4583 5.6683 5.4847
Pb Ho La
4 2 3
direct
0.3013 0.6027 0.9388 Pb
0.9311 0.8622 0.5928 Pb
0.6987 0.3973 0.0612 Pb
0.0689 0.1378 0.4072 Pb
0.6814 0.3629 0.3508 Ho
0.3186 0.6371 0.6492 Ho
0.3749 0.7499 0.3017 La
0.0000 0.0000 0.0000 La
0.6251 0.2501 0.6983 La
```

Output
As for the formation enthalpy at 0 K: -0.47 eV/atom. As for the space group: No. 12. The calculation puts the density of states at the Fermi level at 0.867 states/eV per atom. As for the total DFT energy (no corrections): -4.78 eV/atom.

Question: Among the records above, which one has the lowest total DFT energy (no corrections)?
Answer: La2HoPa2Ru5

Question: Among the records above, which one has the lowest formation enthalpy at 0 K?
Answer: LaY2HoP4

Question: Which of these has the lowest total DFT energy (no corrections)?
Answer: La2HoPa2Ru5